Entry 1:
This record from the Alexandria database describes an optimized crystal structure of B2C. The functional is PBE.

The structure in POSCAR format:
```
B2C
1.0
5.047 0.000 0.000
0.000 2.688 0.000
-2.256 0.000 5.935
B C
8 4
Cartesian
0.000 0.000 0.000
-1.443 0.000 4.358
-0.501 1.344 3.579
0.837 1.344 2.308
1.918 0.000 0.210
0.772 1.344 5.582
1.913 0.000 3.901
3.187 0.000 2.373
1.505 0.000 1.762
1.087 1.344 4.006
4.403 1.344 0.514
4.009 1.344 1.997
```

- calculated total energy (eV/atom) = -7.207
- magnetic moment (μB per atom) = 0.00
- mass density (g cm⁻³) = 2.774
- symmetry = Pm

=====

Entry 2:
This record from the Alexandria database describes an optimized crystal structure of Pr8SiPd3Br4. The functional is PBE.

The structure in POSCAR format:
```
Pr8SiPd3Br4
1.0
4.268 2.464 7.546
-4.268 2.464 7.546
0.000 -4.929 7.546
Pr Si Pd Br
8 1 3 4
Cartesian
0.000 0.000 5.308
-2.135 -1.233 12.933
0.000 -2.466 9.704
-2.135 1.233 9.704
2.135 -1.233 12.933
0.000 2.466 12.933
2.135 1.233 9.704
0.000 0.000 17.329
0.000 0.000 11.318
-4.268 0.000 11.318
-2.134 1.232 3.773
2.134 1.232 3.773
0.000 0.000 0.000
-2.134 -1.232 7.546
-2.134 1.232 15.091
0.000 2.464 7.546
```

- calculated total energy (eV/atom) = -5.093
- magnetic moment (μB per atom) = 0.00
- uncorrected formation energy (eV per atom) = -0.97
- mass density (g cm⁻³) = 6.256
- symmetry = R-3m

=====

Entry 3:
This record from the Alexandria database describes an optimized crystal structure of SrReOs. The functional is PBE.

The structure in POSCAR format:
```
SrReOs
1.0
-1.571 1.571 6.412
1.571 -1.571 6.412
1.571 1.571 -6.412
Sr Re Os
1 1 1
Cartesian
0.000 0.000 0.000
0.000 0.000 3.790
0.000 0.000 8.987
```

- calculated total energy (eV/atom) = -7.884
- magnetic moment (μB per atom) = 0.00
- mass density (g cm⁻³) = 12.170
- symmetry = I4mm

=====

Entry 4:
This record from the Alexandria database describes an optimized crystal structure of Pm3Zn2Ga6. The functional is PBE.

The structure in POSCAR format:
```
Pm3Zn2Ga6
1.0
-2.044 2.044 14.696
2.044 -2.044 14.696
2.044 2.044 -14.696
Pm Zn Ga
3 2 6
Cartesian
0.000 0.000 0.000
0.000 0.000 4.913
0.000 0.000 24.479
0.000 0.000 10.634
0.000 0.000 18.758
2.044 0.000 2.341
0.000 0.000 7.959
2.044 0.000 12.355
0.000 2.044 2.341
0.000 0.000 21.433
0.000 2.044 12.355
```

- calculated total energy (eV/atom) = -3.543
- magnetic moment (μB per atom) = 0.00
- mass density (g cm⁻³) = 6.655
- symmetry = I4/mmm

=====

Entry 5:
This record from the Alexandria database describes an optimized crystal structure of Pm3GeH. The functional is PBE.

The structure in POSCAR format:
```
Pm3GeH
1.0
8.111 0.000 0.000
0.000 7.922 0.000
0.000 0.000 8.190
Pm Ge H
12 4 4
Cartesian
0.099 1.980 0.120
1.241 4.009 2.751
1.241 7.874 2.751
2.814 0.048 6.846
2.814 3.913 6.846
3.956 5.941 4.215
4.155 1.980 3.975
5.297 4.009 1.344
5.297 7.874 1.344
6.870 0.048 5.439
6.870 3.913 5.439
8.012 5.941 8.070
1.119 5.941 5.273
2.936 1.980 1.178
5.175 5.941 7.012
6.992 1.980 2.917
0.937 5.941 1.827
3.119 1.980 5.922
4.992 5.941 2.268
7.174 1.980 6.363
```

- calculated total energy (eV/atom) = -4.872
- magnetic moment (μB per atom) = 0.00
- mass density (g cm⁻³) = 6.420
- symmetry = Pnma

=====

Entry 6:
This record from the Alexandria database describes an optimized crystal structure of Ba2InPb. The functional is PBE.

The structure in POSCAR format:
```
Ba2InPb
1.0
0.000 4.276 4.276
4.276 0.000 4.276
4.276 4.276 0.000
Ba In Pb
2 1 1
Cartesian
0.000 0.000 0.000
2.138 2.138 2.138
4.276 4.276 4.276
6.413 6.413 6.413
```

- calculated total energy (eV/atom) = -2.771
- magnetic moment (μB per atom) = 0.00
- mass density (g cm⁻³) = 6.338
- symmetry = F-43m